# ZrCr2Se | Alexandria via LeMat-Bulk | GGA-PBEsol | optimized geometry
data_ZrCr2Se
_space_group_name_H-M_alt 'I m m 2'
_space_group_IT_number 44
_cell_length_a 3.1894
_cell_length_b 4.3124
_cell_length_c 8.6740
_cell_angle_alpha 90.00
_cell_angle_beta 90.00
_cell_angle_gamma 90.00
loop_
_space_group_symop_operation_xyz
'x,y,z'
'-x,-y,z'
'-x,y,z'
'x,-y,z'
'x+1/2,y+1/2,z+1/2'
'-x+1/2,-y+1/2,z+1/2'
'-x+1/2,y+1/2,z+1/2'
'x+1/2,-y+1/2,z+1/2'
loop_
_atom_site_label
_atom_site_fract_x
_atom_site_fract_y
_atom_site_fract_z
Zr1 0.0000 0.0000 0.0000
Cr1 0.0000 0.0000 0.4972
Cr2 0.0000 0.5000 0.7703
Se1 0.0000 0.5000 0.2293
# - Uncorrected energy: -8.2932 eV/atom



# Sr2HgBr | Alexandria via LeMat-Bulk | GGA-PBEsol | optimized geometry
data_Sr2HgBr
_space_group_name_H-M_alt 'P 1 2/m 1'
_space_group_IT_number 10
_cell_length_a 4.0314
_cell_length_b 3.8838
_cell_length_c 8.6740
_cell_angle_alpha 90.00
_cell_angle_beta 90.19
_cell_angle_gamma 90.00
loop_
_space_group_symop_operation_xyz
'x,y,z'
'-x,-y,-z'
'-x,y,-z'
'x,-y,z'
loop_
_atom_site_label
_atom_site_fract_x
_atom_site_fract_y
_atom_site_fract_z
Sr1 0.0016 0.0000 0.2177
Hg1 0.5000 0.5000 0.0000
Br1 0.0000 0.5000 0.5000
# - Uncorrected energy: -2.5352 eV/atom
# - Excess energy over the best structure of this formula in the dataset: 17 meV/atom



# NaHf2Zr | Alexandria via LeMat-Bulk | GGA-PBEsol | optimized geometry
data_NaHf2Zr
_space_group_name_H-M_alt 'F m -3 m'
_space_group_IT_number 225
_space_group_name_Hall '-F 4 2 3'
_cell_length_a 7.0148
_cell_length_b 7.0148
_cell_length_c 7.0148
_cell_angle_alpha 90.00
_cell_angle_beta 90.00
_cell_angle_gamma 90.00
loop_
_atom_site_label
_atom_site_fract_x
_atom_site_fract_y
_atom_site_fract_z
Na1 0.0000 0.0000 0.0000
Hf1 0.2500 0.2500 0.2500
Zr1 0.0000 0.0000 0.5000
# - Uncorrected energy: -7.2113 eV/atom
# - Energy of formation from the pure elements: 2.7 eV per formula unit



# HoInPt | Alexandria via LeMat-Bulk | GGA-PBEsol | optimized geometry
data_HoInPt
_space_group_name_H-M_alt 'P -6 2 m'
_space_group_IT_number 189
_space_group_name_Hall 'P -6 -2'
_cell_length_a 7.4986
_cell_length_b 7.4986
_cell_length_c 3.8400
_cell_angle_alpha 90.00
_cell_angle_beta 90.00
_cell_angle_gamma 120.00
loop_
_atom_site_label
_atom_site_fract_x
_atom_site_fract_y
_atom_site_fract_z
Ho1 0.0000 0.4069 0.0000
In1 0.0000 0.7401 0.5000
Pt1 0.0000 0.0000 0.0000
Pt2 0.3333 0.6667 0.5000
# - Uncorrected energy: -5.9860 eV/atom
# - Energy of formation from the pure elements: -3.1 eV per formula unit



no.,size of the total moment (μB per atom)
1,0.2619
2,0.0000
3,0.0010
4,0.0000